5
Lattice="-2.813 2.452 2.046 -2.870 -3.136 -0.188 1.990 -2.138 5.299" Properties=species:S:1:pos:R:3 comment="HgSBrN2 PBE optimized geometry" raw_formation_energy_mev_per_atom=1995 e_above_lowest_polymorph_ev_per_atom=0.031 sg="P4/mmm (123)" pbc="T T T"
N -1.435 -1.568 -0.094
Br -1.846 -1.411 3.578
N -1.406 1.226 1.023
S 0.995 -1.069 2.649
Hg 0.000 0.000 0.000

5
Lattice="-5.909 -1.540 1.217 1.878 -3.312 4.928 -0.329 2.904 2.077" Properties=species:S:1:pos:R:3 comment="KZnTe2N PBE optimized geometry" raw_formation_energy_mev_per_atom=339 e_above_lowest_polymorph_ev_per_atom=0.000 sg="P4/mmm (123)" pbc="T T T"
K -2.180 -0.974 4.111
Zn 0.000 0.000 0.000
N -0.164 1.452 1.038
Te 0.939 -1.656 2.464
Te -2.955 -0.770 0.609

4
Lattice="-3.040 2.311 -3.262 -2.507 -2.680 -3.428 -4.977 -0.544 0.388" Properties=species:S:1:pos:R:3 comment="TmZrTlZn PBE optimized geometry" e_form_mev_per_atom=-158 sg="F-43m (216)" pbc="T T T"
Zr 0.000 0.000 0.000
Tm -5.262 -0.456 -3.151
Tl -2.631 -0.228 -1.575
Zn -7.893 -0.685 -4.726

5
Lattice="5.701 0.000 0.000 0.000 3.815 0.000 0.000 0.000 5.701" Properties=species:S:1:pos:R:3 comment="YAl2HN PBE optimized geometry" sg="P4/mmm (123)" dft_energy_ev_per_atom=-3.5018 pbc="T T T"
H 0.000 1.908 0.000
Al 2.851 0.000 0.000
N 2.851 1.908 2.851
Y 0.000 0.000 0.000
Al 0.000 0.000 2.851

5
Lattice="4.423 0.000 0.000 0.000 5.175 0.000 0.000 0.000 4.423" Properties=species:S:1:pos:R:3 comment="GaSi2OsRh PBE optimized geometry" raw_formation_energy_mev_per_atom=947 e_above_lowest_polymorph_ev_per_atom=0.000 sg="P4/mmm (123)" pbc="T T T"
Si 0.000 0.000 2.212
Si 2.212 0.000 0.000
Os 0.000 2.588 0.000
Ga 2.212 2.588 2.212
Rh 0.000 0.000 0.000

12
Lattice="8.091 -0.005 0.003 -4.048 7.006 0.003 -1.346 -2.330 7.896" Properties=species:S:1:pos:R:3 comment="La2Tl3Te6Pb PBE optimized geometry" raw_formation_energy_mev_per_atom=-845 sg="C2/m (12)" pbc="T T T"
Te 0.031 0.053 6.095
Pb 0.000 0.000 0.000
La 4.049 2.330 0.003
Te -1.377 2.383 1.821
Te 2.752 -0.001 1.821
Tl 1.349 2.335 3.952
Tl 5.404 -0.007 3.952
Tl -2.707 4.677 3.952
La -0.006 4.671 0.003
Te 2.667 4.617 1.808
Te 4.074 2.288 6.082
Te -0.055 4.672 6.082

12
Lattice="-3.508 -6.481 2.915 4.384 -1.526 -8.588 4.946 2.449 5.861" Properties=species:S:1:pos:R:3 comment="KTiBr4 PBE optimized geometry" raw_formation_energy_mev_per_atom=-1354 e_above_lowest_polymorph_ev_per_atom=0.000 sg="C2/c (15)" pbc="T T T"
Br 1.498 -0.490 0.833
Br -1.809 -6.182 0.212
Br 7.631 0.624 -0.024
Ti -2.620 -4.864 2.192
K 2.826 -2.819 -2.716
Br 4.755 -0.453 4.540
Br 4.323 -5.067 -0.646
Ti 8.442 -0.694 -2.004
Br 1.066 -5.105 -4.352
K 2.995 -2.738 2.904
Br 6.060 -1.938 -2.129
Br -0.239 -3.620 2.317

5
Lattice="5.131 0.000 0.000 0.000 5.131 0.000 0.000 0.000 3.605" Properties=species:S:1:pos:R:3 comment="ZnAuSe2N PBE optimized geometry" raw_formation_energy_mev_per_atom=1043 e_above_lowest_polymorph_ev_per_atom=0.024 sg="P4/mmm (123)" pbc="T T T"
Se 0.000 2.565 0.000
Se 2.565 0.000 0.000
Au 2.565 2.565 1.803
N 0.000 0.000 1.803
Zn 0.000 0.000 0.000

5
Lattice="4.394 0.000 0.000 0.000 4.394 0.000 0.000 0.000 4.499" Properties=species:S:1:pos:R:3 comment="HfSc2PtC PBE optimized geometry" e_form_mev_per_atom=-699 sg="P4/mmm (123)" pbc="T T T"
Sc 2.197 4.394 0.001
C 0.000 0.000 4.498
Hf 0.000 4.394 2.250
Sc 0.000 2.197 0.001
Pt 2.197 2.197 2.248

11
Lattice="-2.891 0.443 -2.937 4.881 2.323 -4.455 0.038 -7.185 1.805" Properties=species:S:1:pos:R:3 comment="UCu2Pt8 PBE optimized geometry" e_form_mev_per_atom=-313 sg="Immm (71)" pbc="T T T"
U -1.446 0.221 -1.468
Cu -0.796 -3.435 -2.659
Pt 0.233 -1.001 -3.305
Pt 2.419 0.042 -5.300
Cu 2.823 -0.984 -2.928
Pt 1.711 -2.637 -5.007
Pt 1.794 -3.418 -2.282
Pt -0.392 -4.461 -0.287
Pt 1.454 0.690 -1.327
Pt 0.573 -5.110 -4.260
Pt 0.316 -1.782 -0.580

11
Lattice="5.756 -0.181 -0.231 -2.598 7.896 1.092 -2.598 -0.855 7.925" Properties=species:S:1:pos:R:3 comment="Y3Ho7Tm PBE optimized geometry" e_form_mev_per_atom=284 e_above_lowest_polymorph_ev_per_atom=0.126 sg="C2/m (12)" pbc="T T T"
Ho 0.123 1.443 1.848
Y 2.878 -0.090 -0.116
Ho 0.392 2.189 8.168
Ho 0.436 5.418 6.939
Tm 0.280 3.431 4.393
Y -2.598 6.081 2.509
Ho -2.598 3.521 4.509
Ho 0.168 4.672 0.618
Ho 0.392 7.394 4.104
Ho 0.168 -0.533 4.682
Y -2.598 0.960 6.508

8
Lattice="-3.921 -3.876 1.420 2.226 -3.553 -3.851 3.485 -2.196 3.930" Properties=species:S:1:pos:R:3 comment="Li3In3Sn2 PBE optimized geometry" e_form_mev_per_atom=-200 e_above_lowest_polymorph_ev_per_atom=0.000 sg="R32 (155)" pbc="T T T"
Li -0.557 -3.351 0.729
Sn 2.149 -3.546 2.289
In 0.685 -3.634 -2.530
In 1.431 -1.441 0.020
Li 2.458 -4.730 -0.591
Li 0.785 -6.356 2.110
In -0.326 -4.550 4.009
Sn -0.358 -6.079 -0.790

| no. | calculated density (Mg/m³) |
| --- | --- |
| 1 | 5.2 |
| 2 | 4.5 |
| 3 | 9.8 |
| 4 | 2.1 |
| 5 | 6.9 |
| 6 | 6.9 |
| 7 | 3.0 |
| 8 | 7.6 |
| 9 | 9.1 |
| 10 | 17.8 |
| 11 | 7.4 |
| 12 | 5.4 |